No. 1
{"formula": "ErTh2As3", "functional": "PBE", "state": "relaxed", "cell": [[3.641, -6.299, 0.000], [3.641, 6.299, 0.000], [-2.425, 0.000, 6.852]], "species": ["Er", "Er", "Th", "Th", "Th", "Th", "As", "As", "As", "As", "As", "As"], "fractional_positions": [[0.167, 0.833, 0.000], [0.833, 0.167, 0.000], [0.000, 0.000, 0.500], [0.335, 0.665, 0.500], [0.500, 0.500, 0.000], [0.665, 0.335, 0.500], [0.079, 0.419, 0.757], [0.240, 0.240, 0.241], [0.419, 0.079, 0.757], [0.581, 0.921, 0.243], [0.760, 0.760, 0.759], [0.921, 0.581, 0.243]]}


No. 2
{"formula": "ErThAs", "functional": "PBE", "state": "relaxed", "cell": [[2.862, -4.360, 0.000], [2.862, 4.360, 0.000], [0.000, 0.000, 6.257]], "species": ["Er", "Er", "Th", "Th", "As", "As"], "fractional_positions": [[0.000, 0.000, 0.000], [0.000, 0.000, 0.500], [0.349, 0.651, 0.750], [0.651, 0.349, 0.250], [0.303, 0.697, 0.250], [0.697, 0.303, 0.750]]}


The evaluated total moment for the records listed, in turn: 0.00; 0.00 μB per cell.
The evaluated E_form for the records listed, in turn: -8.6; -1.6 eV per formula unit.